Record 1
Compound: NbB3Se
Source: the Alexandria database
Functional: SCAN
Structure: single point on PBEsol structure

Cell lengths 3.9870, 3.9870, 3.9870 Å; angles 90.00, 90.00, 90.00 degrees
With the nearest neighbours (Å) after each atom.
Fractional positions:
Nb  0.5000  0.5000  0.5000  12 B 2.82
B  0.0000  0.5000  0.0000  2 Se 1.99
B  0.0000  0.0000  0.5000  2 Se 1.99
B  0.5000  0.0000  0.0000  2 Se 1.99
Se  0.0000  0.0000  0.0000  6 B 1.99

Raw formation energy: 189 kJ per mole of atoms
Symmetry: No. 221


Record 2
Compound: Nb3BSe
Source: the Alexandria database
Functional: SCAN
Structure: single point on PBEsol structure

Cell lengths 4.3393, 4.3393, 4.3393 Å; angles 90.00, 90.00, 90.00 degrees
With the nearest neighbours (Å) after each atom.
Fractional positions:
Nb  0.0000  0.5000  0.0000  2 B 2.17
Nb  0.0000  0.0000  0.5000  2 B 2.17
Nb  0.5000  0.0000  0.0000  2 B 2.17
B  0.0000  0.0000  0.0000  6 Nb 2.17
Se  0.5000  0.5000  0.5000  12 Nb 3.07

Raw formation energy: 23 kJ per mole of atoms
Symmetry: No. 221


Record 3
Compound: TaNbBSe2
Source: the Alexandria database
Functional: SCAN
Structure: single point on PBEsol structure

Cell lengths 4.1805, 4.3968, 4.3968 Å; angles 90.00, 90.00, 90.00 degrees
With the nearest neighbours (Å) after each atom.
Fractional positions:
Nb  0.5000  0.5000  0.5000  8 Se 3.03, 4 Ta 3.11
B  0.0000  0.0000  0.0000  2 Ta 2.09, 4 Se 2.20
Se  0.0000  0.0000  0.5000  2 B 2.20
Se  0.0000  0.5000  0.0000  2 B 2.20
Ta  0.5000  0.0000  0.0000  2 B 2.09

Raw formation energy: 75 kJ per mole of atoms
Symmetry: No. 123


Record 4
Compound: Nb5Si3B
Source: the Alexandria database
Functional: SCAN
Structure: single point on PBEsol structure

Cell lengths 5.2507, 7.6147, 7.6147 Å; angles 120.00, 90.00, 90.00 degrees
With the nearest neighbours (Å) after each atom.
Fractional positions:
Nb  0.0000  0.6667  0.3333  2 Nb 2.63, 6 Si 2.67
Nb  0.0000  0.3333  0.6667  2 Nb 2.63, 6 Si 2.67
Nb  0.5000  0.3333  0.6667  2 Nb 2.63, 6 Si 2.67
Nb  0.5000  0.6667  0.3333  2 Nb 2.63, 6 Si 2.67
Nb  0.2500  0.2477  0.2477  2 B 2.30
Nb  0.2500  0.0000  0.7523  2 B 2.30
Nb  0.2500  0.7523  0.0000  2 B 2.30
Nb  0.7500  0.7523  0.7523  2 B 2.30
Nb  0.7500  0.0000  0.2477  2 B 2.30
Nb  0.7500  0.2477  0.0000  2 B 2.30
Si  0.2500  0.5985  0.5985  9 Nb 2.67-2.87
Si  0.2500  0.0000  0.4015  9 Nb 2.67-2.87
Si  0.2500  0.4015  0.0000  9 Nb 2.67-2.87
Si  0.7500  0.4015  0.4015  9 Nb 2.67-2.87
Si  0.7500  0.0000  0.5985  9 Nb 2.67-2.87
Si  0.7500  0.5985  0.0000  9 Nb 2.67-2.87
B  0.0000  0.0000  0.0000  6 Nb 2.30
B  0.5000  0.0000  0.0000  6 Nb 2.30

Raw formation energy: -68 kJ per mole of atoms
Symmetry: No. 193


Record 5
Compound: Nb5SiB2
Source: the Alexandria database
Functional: SCAN
Structure: single point on PBEsol structure

Cell lengths 6.2229, 6.2229, 7.2832 Å; angles 115.29, 115.29, 90.00 degrees
With the nearest neighbours (Å) after each atom.
Fractional positions:
Nb  0.0000  0.0000  0.0000  4 B 2.51
Nb  0.5000  0.5000  0.0000  4 B 2.51
Nb  0.1929  0.6929  0.7243  3 B 2.40-2.50, 2 Si 2.65
Nb  0.8071  0.3071  0.2757  3 B 2.40-2.50, 2 Si 2.65
Nb  0.5314  0.0314  0.7243  3 B 2.40-2.50, 2 Si 2.65
Nb  0.6929  0.5314  0.7243  3 B 2.40-2.50, 2 Si 2.65
Nb  0.9686  0.8071  0.2757  3 B 2.40-2.50, 2 Si 2.65
Nb  0.4686  0.9686  0.2757  3 B 2.40-2.50, 2 Si 2.65
Nb  0.3071  0.4686  0.2757  3 B 2.40-2.50, 2 Si 2.65
Nb  0.0314  0.1929  0.7243  3 B 2.40-2.50, 2 Si 2.65
Si  0.7500  0.7500  0.5000  10 Nb 2.65-2.90
Si  0.2500  0.2500  0.5000  10 Nb 2.65-2.90
B  0.8874  0.3874  0.0000  1 B 1.98
B  0.1126  0.6126  0.0000  1 B 1.98
B  0.3874  0.1126  0.0000  1 B 1.98
B  0.6126  0.8874  0.0000  1 B 1.98

Raw formation energy: -65 kJ per mole of atoms
Symmetry: No. 140


Record 6
Compound: Nb2SiTcB
Source: the Alexandria database
Functional: SCAN
Structure: single point on PBEsol structure

Cell lengths 3.6823, 4.3851, 4.3851 Å; angles 90.00, 90.00, 90.00 degrees
With the nearest neighbours (Å) after each atom.
Fractional positions:
Nb  0.0000  0.0000  0.5000  2 B 2.19
Nb  0.0000  0.5000  0.0000  2 B 2.19
B  0.0000  0.0000  0.0000  2 Si 1.84
Si  0.5000  0.0000  0.0000  2 B 1.84
Tc  0.5000  0.5000  0.5000  8 Nb 2.86, 4 Si 3.10

Raw formation energy: 7 kJ per mole of atoms
Symmetry: No. 123


Record 7
Compound: NbSn3B
Source: the Alexandria database
Functional: SCAN
Structure: single point on PBEsol structure

Cell lengths 4.6945, 4.6945, 4.6945 Å; angles 90.00, 90.00, 90.00 degrees
With the nearest neighbours (Å) after each atom.
Fractional positions:
Nb  0.5000  0.5000  0.5000  12 Sn 3.32
B  0.0000  0.0000  0.0000  6 Sn 2.35
Sn  0.0000  0.5000  0.0000  2 B 2.35
Sn  0.0000  0.0000  0.5000  2 B 2.35
Sn  0.5000  0.0000  0.0000  2 B 2.35

Symmetry: No. 221


Record 8
Compound: SrNbB2
Source: the Alexandria database
Functional: SCAN
Structure: single point on PBEsol structure

Cell lengths 4.3877, 4.3877, 4.3877 Å; angles 60.00, 60.00, 60.00 degrees
With the nearest neighbours (Å) after each atom.
Fractional positions:
Sr  0.0000  0.0000  0.0000  8 B 2.69
Nb  0.5000  0.5000  0.5000  8 B 2.69
B  0.2500  0.2500  0.2500  4 Nb 2.69, 4 Sr 2.69
B  0.7500  0.7500  0.7500  4 Nb 2.69, 4 Sr 2.69

Symmetry: No. 225


Record 9
Compound: TaNb2B2
Source: the Alexandria database
Functional: SCAN
Structure: single point on PBEsol structure

Cell lengths 3.2864, 6.1738, 6.1738 Å; angles 90.00, 90.00, 90.00 degrees
With the nearest neighbours (Å) after each atom.
Fractional positions:
Nb  0.5000  0.1777  0.6777  6 B 2.45-2.50
Nb  0.5000  0.6777  0.8223  6 B 2.45-2.50
Nb  0.5000  0.8223  0.3223  6 B 2.45-2.50
Nb  0.5000  0.3223  0.1777  6 B 2.45-2.50
B  0.0000  0.3929  0.8929  1 B 1.87
B  0.0000  0.8929  0.6071  1 B 1.87
B  0.0000  0.6071  0.1071  1 B 1.87
B  0.0000  0.1071  0.3929  1 B 1.87
Ta  0.0000  0.0000  0.0000  4 B 2.51, 8 Nb 2.80
Ta  0.0000  0.5000  0.5000  4 B 2.51, 8 Nb 2.80

Symmetry: No. 127


Record 10
Compound: Ta2NbB2
Source: the Alexandria database
Functional: SCAN
Structure: single point on PBEsol structure

Cell lengths 3.2659, 6.1726, 6.1726 Å; angles 90.00, 90.00, 90.00 degrees
With the nearest neighbours (Å) after each atom.
Fractional positions:
Nb  0.0000  0.0000  0.0000  4 B 2.51, 8 Ta 2.80
Nb  0.0000  0.5000  0.5000  4 B 2.51, 8 Ta 2.80
B  0.0000  0.3929  0.8929  1 B 1.87
B  0.0000  0.8929  0.6071  1 B 1.87
B  0.0000  0.6071  0.1071  1 B 1.87
B  0.0000  0.1071  0.3929  1 B 1.87
Ta  0.5000  0.1779  0.6779  6 B 2.44-2.49
Ta  0.5000  0.6779  0.8221  6 B 2.44-2.49
Ta  0.5000  0.8221  0.3221  6 B 2.44-2.49
Ta  0.5000  0.3221  0.1779  6 B 2.44-2.49

Symmetry: No. 127


Record 11
Compound: Ta3NbB
Source: the Alexandria database
Functional: SCAN
Structure: single point on PBEsol structure

Cell lengths 4.3543, 4.3543, 4.3543 Å; angles 90.00, 90.00, 90.00 degrees
With the nearest neighbours (Å) after each atom.
Fractional positions:
Nb  0.5000  0.5000  0.5000  12 Ta 3.08
B  0.0000  0.0000  0.0000  6 Ta 2.18
Ta  0.0000  0.5000  0.0000  2 B 2.18
Ta  0.0000  0.0000  0.5000  2 B 2.18
Ta  0.5000  0.0000  0.0000  2 B 2.18

Symmetry: No. 221


Record 12
Compound: Nb2TcB2
Source: the Alexandria database
Functional: SCAN
Structure: single point on PBEsol structure

Cell lengths 3.2790, 6.0015, 6.0015 Å; angles 90.00, 90.00, 90.00 degrees
With the nearest neighbours (Å) after each atom.
Fractional positions:
Nb  0.5000  0.1768  0.6768  6 B 2.41-2.43
Nb  0.5000  0.6768  0.8232  6 B 2.41-2.43
Nb  0.5000  0.8232  0.3232  6 B 2.41-2.43
Nb  0.5000  0.3232  0.1768  6 B 2.41-2.43
B  0.0000  0.3887  0.8887  1 B 1.89
B  0.0000  0.8887  0.6113  1 B 1.89
B  0.0000  0.6113  0.1113  1 B 1.89
B  0.0000  0.1113  0.3887  1 B 1.89
Tc  0.0000  0.0000  0.0000  4 B 2.43
Tc  0.0000  0.5000  0.5000  4 B 2.43

Symmetry: No. 127


Record 13
Compound: NbTcB2
Source: the Alexandria database
Functional: SCAN
Structure: single point on PBEsol structure

Cell lengths 4.6109, 4.6109, 6.1733 Å; angles 111.93, 111.93, 90.00 degrees
With the nearest neighbours (Å) after each atom.
Fractional positions:
Nb  0.7500  0.2500  0.5000  4 B 2.20
Nb  0.5000  0.5000  0.0000  4 B 2.20
B  0.3341  0.8750  0.2500  2 Tc 1.99, 2 Nb 2.20
B  0.9159  0.3750  0.2500  2 Tc 1.99, 2 Nb 2.20
B  0.1250  0.0841  0.7500  2 Tc 1.99, 2 Nb 2.20
B  0.6250  0.6659  0.7500  2 Tc 1.99, 2 Nb 2.20
Tc  0.2500  0.7500  0.5000  4 B 1.99
Tc  0.0000  0.0000  0.0000  4 B 1.99

Symmetry: No. 122


Record 14
Compound: NbTc3B
Source: the Alexandria database
Functional: SCAN
Structure: single point on PBEsol structure

Cell lengths 4.6325, 4.6325, 4.6325 Å; angles 90.00, 90.00, 90.00 degrees
With the nearest neighbours (Å) after each atom.
Fractional positions:
Nb  0.0000  0.0000  0.0000  6 Tc 2.32
B  0.5000  0.5000  0.5000  12 Tc 3.28
Tc  0.0000  0.5000  0.0000  2 Nb 2.32
Tc  0.0000  0.0000  0.5000  2 Nb 2.32
Tc  0.5000  0.0000  0.0000  2 Nb 2.32

Symmetry: No. 221


Record 15
Compound: Ti3NbB
Source: the Alexandria database
Functional: SCAN
Structure: single point on PBEsol structure

Cell lengths 4.6161, 4.6161, 4.6161 Å; angles 90.00, 90.00, 90.00 degrees
With the nearest neighbours (Å) after each atom.
Fractional positions:
Nb  0.0000  0.0000  0.0000  6 Ti 2.31
B  0.5000  0.5000  0.5000  12 Ti 3.26
Ti  0.0000  0.5000  0.0000  2 Nb 2.31
Ti  0.0000  0.0000  0.5000  2 Nb 2.31
Ti  0.5000  0.0000  0.0000  2 Nb 2.31

Symmetry: No. 221


Record 16
Compound: TiNb2B2
Source: the Alexandria database
Functional: SCAN
Structure: single point on PBEsol structure

Cell lengths 3.2572, 6.0970, 6.0970 Å; angles 90.00, 90.00, 90.00 degrees
With the nearest neighbours (Å) after each atom.
Fractional positions:
Nb  0.5000  0.1795  0.6795  6 B 2.42-2.47
Nb  0.5000  0.6795  0.8205  6 B 2.42-2.47
Nb  0.5000  0.8205  0.3205  6 B 2.42-2.47
Nb  0.5000  0.3205  0.1795  6 B 2.42-2.47
B  0.0000  0.3942  0.8942  1 B 1.83
B  0.0000  0.8942  0.6058  1 B 1.83
B  0.0000  0.6058  0.1058  1 B 1.83
B  0.0000  0.1058  0.3942  1 B 1.83
Ti  0.0000  0.0000  0.0000  4 B 2.49, 8 Nb 2.77
Ti  0.0000  0.5000  0.5000  4 B 2.49, 8 Nb 2.77

Symmetry: No. 127


Record 17
Compound: Nb2TlB
Source: the Alexandria database
Functional: SCAN
Structure: single point on PBEsol structure

Cell lengths 4.4945, 4.4945, 4.4945 Å; angles 60.00, 60.00, 60.00 degrees
With the nearest neighbours (Å) after each atom.
Fractional positions:
Tl  0.5000  0.5000  0.5000  8 Nb 2.75
B  0.0000  0.0000  0.0000  8 Nb 2.75
Nb  0.2500  0.2500  0.2500  4 B 2.75, 4 Tl 2.75
Nb  0.7500  0.7500  0.7500  4 Tl 2.75, 4 B 2.75

Symmetry: No. 225


Record 18
Compound: NbTlB2
Source: the Alexandria database
Functional: SCAN
Structure: single point on PBEsol structure

Cell lengths 5.3627, 5.3627, 5.3627 Å; angles 74.75, 68.38, 111.62 degrees
With the nearest neighbours (Å) after each atom.
Fractional positions:
Tl  0.5000  0.2500  0.2500  4 B 2.32
Tl  0.0000  0.0000  0.0000  4 B 2.32
B  0.0102  0.3852  0.1250  2 Nb 2.24, 2 Tl 2.32
B  0.9898  0.8648  0.6250  2 Nb 2.24, 2 Tl 2.32
B  0.5102  0.1250  0.8648  2 Nb 2.24, 2 Tl 2.32
B  0.4898  0.6250  0.3852  2 Nb 2.24, 2 Tl 2.32
Nb  0.5000  0.7500  0.7500  4 B 2.24
Nb  0.0000  0.5000  0.5000  4 B 2.24

Symmetry: No. 122


Record 19
Compound: Nb2VB2
Source: the Alexandria database
Functional: SCAN
Structure: single point on PBEsol structure

Cell lengths 3.2364, 5.9897, 5.9897 Å; angles 90.00, 90.00, 90.00 degrees
With the nearest neighbours (Å) after each atom.
Fractional positions:
Nb  0.5000  0.1808  0.6808  6 B 2.41
Nb  0.5000  0.6808  0.8192  6 B 2.41
Nb  0.5000  0.8192  0.3192  6 B 2.41
Nb  0.5000  0.3192  0.1808  6 B 2.41
B  0.0000  0.3911  0.8911  1 B 1.85
B  0.0000  0.8911  0.6089  1 B 1.85
B  0.0000  0.6089  0.1089  1 B 1.85
B  0.0000  0.1089  0.3911  1 B 1.85
V  0.0000  0.0000  0.0000  4 B 2.43
V  0.0000  0.5000  0.5000  4 B 2.43

Symmetry: No. 127


Record 20
Compound: NbB2W
Source: the Alexandria database
Functional: SCAN
Structure: single point on PBEsol structure

Cell lengths 4.5865, 4.5865, 3.1132 Å; angles 90.00, 90.00, 138.91 degrees
With the nearest neighbours (Å) after each atom.
Fractional positions:
Nb  0.1468  0.8532  0.5000  7 B 2.37-2.51
B  0.4388  0.5612  0.5000  2 B 1.86
B  0.5576  0.4424  0.0000  2 B 1.86
W  0.8567  0.1433  0.0000  7 B 2.35-2.57

Symmetry: No. 38


Record 21
Compound: Nd2B5
Source: the Alexandria database
Functional: SCAN
Structure: single point on PBEsol structure

Cell lengths 7.2292, 7.2641, 8.3353 Å; angles 106.84, 115.70, 90.00 degrees
With the nearest neighbours (Å) after each atom.
Fractional positions:
Nd  0.3115  0.3983  0.7614  12 B 2.66-2.96
Nd  0.6885  0.6017  0.2386  12 B 2.66-2.96
Nd  0.8206  0.2763  0.7628  11 B 2.68-2.94
Nd  0.0579  0.2237  0.2372  11 B 2.68-2.94
Nd  0.9421  0.7763  0.7628  11 B 2.68-2.94
Nd  0.5501  0.1017  0.2386  12 B 2.66-2.96
Nd  0.1794  0.7237  0.2372  11 B 2.68-2.94
Nd  0.4499  0.8983  0.7614  12 B 2.66-2.96
B  0.6721  0.4604  0.4997  5 B 1.75-1.81
B  0.1724  0.0396  0.5003  5 B 1.75-1.81
B  0.5908  0.5594  0.6806  5 B 1.68-1.83
B  0.4092  0.4406  0.3194  5 B 1.68-1.83
B  0.5901  0.9087  0.4986  3 B 1.75-1.86
B  0.9085  0.4087  0.4986  3 B 1.75-1.86
B  0.3279  0.5396  0.5003  5 B 1.75-1.81
B  0.8276  0.9604  0.4997  5 B 1.75-1.81
B  0.2868  0.3541  0.0835  2 B 1.62-1.68
B  0.0915  0.5913  0.5014  3 B 1.75-1.86
B  0.9103  0.9406  0.3194  5 B 1.68-1.83
B  0.2033  0.1459  0.9165  2 B 1.62-1.68
B  0.5383  0.6713  0.4978  5 B 1.76-1.83
B  0.4617  0.3287  0.5022  5 B 1.76-1.83
B  0.0897  0.0594  0.6806  5 B 1.68-1.83
B  0.9595  0.1713  0.4978  5 B 1.76-1.83
B  0.7967  0.8541  0.0835  2 B 1.62-1.68
B  0.0405  0.8287  0.5022  5 B 1.76-1.83
B  0.4099  0.0913  0.5014  3 B 1.75-1.86
B  0.7132  0.6459  0.9165  2 B 1.62-1.68

Symmetry: No. 15


Record 22
Compound: NdNi4B
Source: the Alexandria database
Functional: SCAN
Structure: single point on PBEsol structure

Cell lengths 4.9804, 4.9804, 6.9008 Å; angles 90.00, 90.00, 120.00 degrees
With the nearest neighbours (Å) after each atom.
Fractional positions:
Nd  0.0000  0.0000  0.5000  12 Ni 2.88, 6 B 2.88
Nd  0.0000  0.0000  0.0000  18 Ni 2.88-3.20
Ni  0.3333  0.6667  0.0000  6 Ni 2.47
Ni  0.6667  0.3333  0.0000  6 Ni 2.47
Ni  0.0000  0.5000  0.7083  2 B 2.03
Ni  0.5000  0.5000  0.7083  2 B 2.03
Ni  0.5000  0.0000  0.7083  2 B 2.03
Ni  0.0000  0.5000  0.2917  2 B 2.03
Ni  0.5000  0.5000  0.2917  2 B 2.03
Ni  0.5000  0.0000  0.2917  2 B 2.03
B  0.6667  0.3333  0.5000  6 Ni 2.03
B  0.3333  0.6667  0.5000  6 Ni 2.03

Symmetry: No. 191


E_tot for every record listed, in sequence, given in eV/atom: -13.143, -25.141, -28.684, -23.277, -24.492, -23.676, -28.608, -16.410, -30.217, -36.893, -48.019, -23.928, -20.143, -26.377, -15.934, -20.113, -35.723, -29.097, -20.442, -29.975, -18.338, -19.695.